Record 1
The following is a PBE-GGA calculation of a geometry-optimized TeSeCl structure, from Alexandria via LeMat-Bulk.

Total magnetic moment ... 0.071 μB per atom
Space-group type ... Imm2
ΔE_f (raw) ... 0.16 eV/f.u.
Fermi-level density of states ... 0.71 states/eV/cell
Polymorph energy (0 for the lowest one) ... 303.3 meV per atom

Unit cell a=6.128 b=6.128 c=6.128 alpha=153.13 beta=98.33 gamma=87.88
Element x y z (fractional)
1 Te 0.000 0.000 0.000
2 Se 0.287 0.287 0.000
3 Cl 0.670 0.670 0.000


Record 2
The following is a PBE-GGA calculation of a geometry-optimized Nd2Al4Ga3Hg structure, from Alexandria via LeMat-Bulk.

Total magnetic moment ... 0.000 μB per atom
Formation energy ... -372 meV/atom
Space-group type ... P-4m2
Fermi-level density of states ... 4.03 states/eV/cell

Unit cell a=4.340 b=4.340 c=11.035 alpha=90.00 beta=90.00 gamma=90.00
Element x y z (fractional)
1 Nd 0.000 0.500 0.249
2 Nd 0.500 0.000 0.751
3 Al 0.000 0.000 0.000
4 Al 0.000 0.500 0.640
5 Al 0.500 0.000 0.360
6 Al 0.500 0.500 0.000
7 Ga 0.000 0.500 0.865
8 Ga 0.500 0.000 0.135
9 Ga 0.500 0.500 0.500
10 Hg 0.000 0.000 0.500